Record 1
This record from Alexandria via LeMat-Bulk describes a relaxed structure of TcBiW3. The functional is PBE-GGA.

It has space group Pm-3m (No. 221), with a = 4.791 Å, b = 4.791 Å, c = 4.791 Å, α = 90.00°, β = 90.00° and γ = 90.00°. The inequivalent atoms are Tc at (0.000, 0.000, 0.000), Bi at (0.500, 0.500, 0.500) and W at (0.000, 0.000, 0.500).

For the raw total energy, the calculation gives -8.815 eV/atom. Its energy relative to the lowest polymorph listed for this composition is 0.000 eV/atom. The crystal system is cubic. The formation energy is 1.807 eV/atom. The calculation puts the density at 12.96 g/cm³.

***

Record 2
This record from Alexandria via LeMat-Bulk describes a relaxed structure of LaOs4Rh. The functional is PBE-GGA.

It has space group F-43m (No. 216), with a = 7.512 Å, b = 7.512 Å, c = 7.512 Å, α = 90.00°, β = 90.00° and γ = 90.00°. The inequivalent atoms are La at (0.000, 0.000, 0.000), Os at (0.123, 0.123, 0.623) and Rh at (0.250, 0.250, 0.250).

For the raw total energy, the calculation gives -9.102 eV/atom. The crystal system is cubic. The formation energy is 0.431 eV/atom. The calculation puts the density at 15.71 g/cm³.

***

> Which formula does entry 2 have?

LaOs4Rh